PBE-GGA SrPuP2Ru, optimized geometry; E_tot = -7.8276 eV per atom; crystal system = tetragonal; magnetization = 4.4 μB/cell
1.0
-2.0774 2.0774 5.9608
2.0774 -2.0774 5.9608
2.0774 2.0774 -5.9608
Sr Pu P Ru
1 1 2 1
Cartesian
0.0000 0.0000 0.0000
0.0000 2.0774 2.9804
0.0000 0.0000 4.7262
0.0000 0.0000 7.1953
2.0774 0.0000 2.9804

PBE-GGA PuUP2Ru2, optimized geometry; E_tot = -9.9290 eV per atom; crystal system = trigonal; magnetization = 4.5 μB/cell
1.0
4.0410 0.0000 0.0000
-2.0205 3.4996 0.0000
0.0000 0.0000 7.5855
Pu U P Ru
1 1 2 2
Cartesian
0.0000 0.0000 0.0000
0.0000 0.0000 3.7928
0.0000 2.3331 1.7257
2.0205 1.1665 5.8598
0.0000 2.3331 5.3888
2.0205 1.1665 2.1967